1.
GGA-PBE Sr2HoReO6, optimized geometry; energy above the most stable polymorph in this dataset = 0.000 eV/atom; total DFT energy (no corrections) = -7.637 eV per atom; magnetic moment = 2.00 Bohr magnetons per cell
1.0
5.746 0.000 0.000
2.873 5.018 0.000
2.821 1.662 4.778
Sr Ho Re O
2 1 1 6
direct
0.242 0.251 0.262 Sr
0.758 0.749 0.738 Sr
0.000 0.000 0.000 Ho
0.500 0.500 0.500 Re
0.214 0.312 0.701 O
0.230 0.793 0.680 O
0.345 0.727 0.186 O
0.655 0.273 0.814 O
0.770 0.207 0.320 O
0.786 0.688 0.299 O

---

2.
GGA-PBE Sr2HoReO6, optimized geometry; energy above the most stable polymorph in this dataset = 0.035 eV/atom; total DFT energy (no corrections) = -7.603 eV per atom; magnetic moment = 2.00 Bohr magnetons per cell
1.0
0.000 4.116 4.116
4.116 0.000 4.116
4.116 4.116 0.000
Sr Ho Re O
2 1 1 6
direct
0.250 0.250 0.250 Sr
0.750 0.750 0.750 Sr
0.000 0.000 0.000 Ho
0.500 0.500 0.500 Re
0.263 0.263 0.737 O
0.263 0.737 0.263 O
0.263 0.737 0.737 O
0.737 0.263 0.263 O
0.737 0.263 0.737 O
0.737 0.737 0.263 O

---

3.
GGA-PBE Ho2SO2, optimized geometry; total DFT energy (no corrections) = -7.860 eV per atom; magnetic moment = 0.00 Bohr magnetons per cell
1.0
3.769 0.000 0.000
-1.885 3.264 0.000
0.000 0.000 6.540
Ho S O
2 1 2
direct
0.333 0.667 0.218 Ho
0.667 0.333 0.782 Ho
0.000 0.000 0.500 S
0.333 0.667 0.870 O
0.667 0.333 0.130 O

---

4.
GGA-PBE Ho2SO2, optimized geometry; total DFT energy (no corrections) = -7.018 eV per atom; magnetic moment = 0.00 Bohr magnetons per cell
1.0
2.035 -7.721 0.000
2.035 7.721 0.000
0.000 0.000 3.661
Ho S O
2 1 2
direct
0.118 0.882 0.000 Ho
0.882 0.118 0.000 Ho
0.500 0.500 0.000 S
0.176 0.824 0.500 O
0.824 0.176 0.500 O

---

5.
GGA-PBE SmHoSO2, optimized geometry; total DFT energy (no corrections) = -7.831 eV per atom; magnetic moment = 0.00 Bohr magnetons per cell
1.0
3.834 0.000 0.000
-1.917 3.320 0.000
0.000 0.000 6.632
Sm Ho S O
1 1 1 2
direct
0.000 0.000 0.000 Sm
0.667 0.333 0.437 Ho
0.333 0.667 0.715 S
0.000 0.000 0.356 O
0.667 0.333 0.097 O

---

6.
GGA-PBE TbHoSO2, optimized geometry; total DFT energy (no corrections) = -7.859 eV per atom; magnetic moment = 0.00 Bohr magnetons per cell
1.0
3.790 0.000 0.000
-1.895 3.282 0.000
0.000 0.000 6.576
Tb Ho S O
1 1 1 2
direct
0.000 0.000 0.000 Tb
0.667 0.333 0.436 Ho
0.333 0.667 0.717 S
0.000 0.000 0.350 O
0.667 0.333 0.091 O

---

7.
GGA-PBE Ho2SbO2, optimized geometry; total DFT energy (no corrections) = -7.374 eV per atom; magnetic moment = 0.00 Bohr magnetons per cell
1.0
-1.907 1.907 6.569
1.907 -1.907 6.569
1.907 1.907 -6.569
Ho Sb O
2 1 2
direct
0.165 0.165 0.000 Ho
0.835 0.835 0.000 Ho
0.500 0.500 0.000 Sb
0.250 0.750 0.500 O
0.750 0.250 0.500 O

---

8.
GGA-PBE Sm2HoSbO6, optimized geometry; total DFT energy (no corrections) = -7.316 eV per atom; magnetic moment = 0.05 Bohr magnetons per cell
1.0
5.291 0.000 0.000
-0.603 5.276 0.000
-2.461 -2.181 5.240
Sm Ho Sb O
2 1 1 6
direct
0.230 0.232 0.496 Sm
0.770 0.768 0.504 Sm
0.000 0.500 0.000 Ho
0.500 0.000 0.000 Sb
0.168 0.160 0.837 O
0.186 0.643 0.753 O
0.382 0.911 0.246 O
0.618 0.089 0.754 O
0.814 0.357 0.247 O
0.832 0.840 0.163 O

---

Please write out number 2 again, unchanged.
GGA-PBE Sr2HoReO6, optimized geometry; energy above the most stable polymorph in this dataset = 0.035 eV/atom; total DFT energy (no corrections) = -7.603 eV per atom; magnetic moment = 2.00 Bohr magnetons per cell
1.0
0.000 4.116 4.116
4.116 0.000 4.116
4.116 4.116 0.000
Sr Ho Re O
2 1 1 6
direct
0.250 0.250 0.250 Sr
0.750 0.750 0.750 Sr
0.000 0.000 0.000 Ho
0.500 0.500 0.500 Re
0.263 0.263 0.737 O
0.263 0.737 0.263 O
0.263 0.737 0.737 O
0.737 0.263 0.263 O
0.737 0.263 0.737 O
0.737 0.737 0.263 O